Record 1
Pu2NpNi: optimized geometry, PBE-GGA.

Summary:
Crystal system   tetragonal
Calculated formation energy   0.13 eV per atom
M_tot   6.59 Bohr magnetons per cell
Calculated density   17.55 g cm⁻³

Cell: 2.971 4.996 4.996 Å, 90.00 90.00 90.00°
Last column: magnetic moment on the atom in μB.
Fractional positions:
Ni1 0.500 0.000 0.000  0.09
Np1 0.500 0.500 0.500  -2.39
Pu1 0.000 0.000 0.500  4.40
Pu2 0.000 0.500 0.000  4.40

***

Record 2
PuNp3Ni8: optimized geometry, PBE-GGA.

Summary:
Crystal system   trigonal
Calculated formation energy   -0.18 eV per atom
M_tot   16.53 Bohr magnetons per cell
Calculated density   13.34 g cm⁻³

Cell: 5.006 5.006 8.666 Å, 73.21 73.21 60.00°
Last column: magnetic moment on the atom in μB.
Fractional positions:
Ni1 0.688 0.688 0.937  0.01
Ni2 0.437 0.938 0.688  0.02
Ni3 0.937 0.438 0.187  -0.01
Ni4 0.938 0.437 0.688  0.02
Ni5 0.938 0.938 0.688  0.02
Ni6 0.438 0.937 0.187  -0.01
Ni7 0.438 0.438 0.187  -0.01
Ni8 0.187 0.187 0.438  -0.01
Np1 0.499 0.499 0.504  3.59
Np2 0.375 0.375 0.876  3.60
Np3 0.001 0.001 0.997  3.59
Pu1 0.875 0.875 0.374  5.05

***

Record 3
Pu3NpNi8: optimized geometry, PBE-GGA.

Summary:
Crystal system   trigonal
Calculated formation energy   -0.25 eV per atom
M_tot   19.14 Bohr magnetons per cell
Calculated density   13.31 g cm⁻³

Cell: 5.025 5.025 8.706 Å, 73.23 73.23 60.00°
Last column: magnetic moment on the atom in μB.
Fractional positions:
Np1 0.875 0.875 0.376  3.57
Ni1 0.687 0.687 0.938  -0.05
Ni2 0.437 0.437 0.189  -0.02
Ni3 0.938 0.938 0.686  -0.05
Ni4 0.437 0.937 0.189  -0.02
Ni5 0.439 0.938 0.686  -0.05
Ni6 0.188 0.188 0.437  -0.03
Ni7 0.938 0.439 0.686  -0.05
Ni8 0.937 0.437 0.189  -0.02
Pu1 0.501 0.501 0.498  5.05
Pu2 0.375 0.375 0.874  5.07
Pu3 0.999 0.999 0.002  5.07

***

Record 4
PuNpNi10: optimized geometry, PBE-GGA.

Summary:
Crystal system   orthorhombic
Calculated formation energy   -0.15 eV per atom
M_tot   5.10 Bohr magnetons per cell
Calculated density   10.90 g cm⁻³

Cell: 3.957 4.873 8.435 Å, 90.00 90.00 90.00°
Last column: magnetic moment on the atom in μB.
Fractional positions:
Ni1 0.000 0.000 0.665  -0.40
Ni2 0.000 0.500 0.169  -0.40
Ni3 0.500 0.252 0.252  -0.42
Ni4 0.000 0.500 0.831  -0.40
Ni5 0.500 0.748 0.252  -0.42
Ni6 0.000 0.000 0.335  -0.40
Ni7 0.500 0.000 0.500  -0.41
Ni8 0.500 0.748 0.748  -0.42
Ni9 0.500 0.252 0.748  -0.42
Ni10 0.500 0.500 0.000  -0.43
Pu1 0.000 0.000 0.000  4.96
Np1 0.000 0.500 0.500  3.46

***

Record 5
PuNpNiRu: optimized geometry, PBE-GGA.

Summary:
Crystal system   cubic
Calculated formation energy   -0.15 eV per atom
M_tot   2.43 Bohr magnetons per cell
Calculated density   16.92 g cm⁻³

Cell: 4.464 4.464 4.464 Å, 60.00 60.00 60.00°
Last column: magnetic moment on the atom in μB.
Fractional positions:
Ru1 0.250 0.250 0.250  -0.01
Pu1 0.750 0.750 0.750  3.50
Np1 0.500 0.500 0.500  -1.06
Ni1 0.000 0.000 0.000  0.04

***

Record 6
PuNpNiS4: optimized geometry, PBE-GGA.

Summary:
Crystal system   monoclinic
Formation energy without anion corrections   -1.215 eV/atom
M_tot   16.14 Bohr magnetons per cell
Calculated density   8.34 g cm⁻³

Cell: 6.413 5.637 7.685 Å, 90.00 106.79 90.00°
Last column: magnetic moment on the atom in μB.
Fractional positions:
S1 0.574 0.250 0.398  -0.13
S2 0.019 0.513 0.754  -0.10
S3 0.432 0.750 0.119  -0.14
S4 0.426 0.750 0.602  -0.13
S5 0.981 0.013 0.246  -0.10
S6 0.568 0.250 0.881  -0.14
S7 0.019 0.987 0.754  -0.10
S8 0.981 0.487 0.246  -0.10
Np1 0.751 0.750 0.440  3.55
Np2 0.249 0.250 0.560  3.55
Ni1 0.763 0.250 0.685  -0.35
Ni2 0.237 0.750 0.315  -0.35
Pu1 0.265 0.250 0.068  5.05
Pu2 0.735 0.750 0.932  5.05

***

Q: The highest M_tot belongs to which entry?
A: Pu3NpNi8

***

Q: Among the records above, which one has the lowest M_tot?
A: PuNpNiRu